## Y4Sb2TeAs (PBE)

Data for an optimized crystal structure of Y4Sb2TeAs.

Computed properties:
- total magnetic moment (Bohr magnetons per cell) = 0.00
- ρ (g/cm³) = 5.8
- E_form (uncorrected) (eV per atom) = -1.32

Cell lengths 4.3119, 7.4937, 7.4689 Å; angles 109.30, 90.00, 90.00 degrees
Last column: nearest neighbours and their distance in Å.
Element x y z (fractional)
Sb  0.5000  0.0000  0.5000  6 Y 3.02
Sb  0.0000  0.5000  0.5000  6 Y 3.13
Y  0.0000  0.7626  0.2492  1 As 2.97, 3 Sb 3.02-3.13, 2 Te 3.09
Y  0.0000  0.2374  0.7508  1 As 2.97, 3 Sb 3.02-3.13, 2 Te 3.09
Y  0.5000  0.7648  0.7597  2 As 2.98, 3 Sb 3.02-3.13, 1 Te 3.08
Y  0.5000  0.2352  0.2403  2 As 2.98, 3 Sb 3.02-3.13, 1 Te 3.08
As  0.0000  0.0000  0.0000  6 Y 2.97-2.98
Te  0.5000  0.5000  0.0000  6 Y 3.08-3.09